Record 1
A plane-wave DFT calculation with GGA-PBE was carried out for CaPm2Te4 after structural relaxation.

As for the theoretical density: 6.4 g/cm³. For the calculated total energy, the calculation gives -4.916 eV/atom. The polymorph energy (0 for the lowest one) comes out at 0 meV/atom. Its uncorrected formation energy is -1478 meV per atom.

It has space group I-42d (No. 122), with a = 9.5066 Å, b = 9.5066 Å, c = 9.6025 Å, α = 90.00°, β = 90.00° and γ = 90.00°. The inequivalent atoms are Ca at (0.0000, 0.0000, 0.0000), Pm at (0.1253, 0.7500, 0.6250) and Te at (0.0745, 0.6779, 0.9454).

---

Record 2
A plane-wave DFT calculation with GGA-PBE was carried out for CaPm5Te8 after structural relaxation.

As for the theoretical density: 6.9 g/cm³. For the calculated total energy, the calculation gives -5.080 eV/atom. Its uncorrected formation energy is -1445 meV per atom.

It has space group I-4 (No. 82), with a = 9.4905 Å, b = 9.4905 Å, c = 9.5632 Å, α = 90.00°, β = 90.00° and γ = 90.00°. The inequivalent atoms are Ca at (0.0000, 0.0000, 0.0000), Pm at (0.0000, 0.5000, 0.7500), Pm at (0.1210, 0.7481, 0.3723), Te at (0.0741, 0.6772, 0.0479) and Te at (0.0742, 0.8223, 0.6938).

---

Record 3
A plane-wave DFT calculation with GGA-PBE was carried out for CaPmTe2 after structural relaxation.

As for the theoretical density: 6.2 g/cm³. For the calculated total energy, the calculation gives -4.581 eV/atom. The polymorph energy (0 for the lowest one) comes out at 186 meV/atom. Its uncorrected formation energy is -1322 meV per atom.

It has space group P4/mmm (No. 123), with a = 3.8825 Å, b = 3.8825 Å, c = 7.7997 Å, α = 90.00°, β = 90.00° and γ = 90.00°. The inequivalent atoms are Ca at (0.0000, 0.0000, 0.0000), Pm at (0.0000, 0.0000, 0.5000) and Te at (0.5000, 0.5000, 0.2558).

---

Record 4
A plane-wave DFT calculation with GGA-PBE was carried out for Ca3Pm5Te8 after structural relaxation.

As for the theoretical density: 6.1 g/cm³. For the calculated total energy, the calculation gives -4.912 eV/atom. Its uncorrected formation energy is -1482 meV per atom.

It has space group R-3m (No. 166, hexagonal axes), with a = 8.9120 Å, b = 8.9120 Å, c = 22.1234 Å, α = 90.00°, β = 90.00° and γ = 120.00°. The inequivalent atoms are Ca at (0.0000, 0.5000, 0.0000), Pm at (0.0000, 0.0000, 0.0000), Pm at (0.0000, 0.0000, 0.5000), Pm at (0.0000, 0.5000, 0.5000), Te at (0.0000, 0.0000, 0.2511) and Te at (0.0020, 0.5010, 0.2510).

---

Record 5
A plane-wave DFT calculation with GGA-PBE was carried out for Ca2Pm3Te6 after structural relaxation.

As for the theoretical density: 5.6 g/cm³. For the calculated total energy, the calculation gives -4.893 eV/atom. Its uncorrected formation energy is -1519 meV per atom.

It has space group C2/m (No. 12), with a = 7.7193 Å, b = 13.3624 Å, c = 7.8280 Å, α = 90.00°, β = 109.18° and γ = 90.00°. The inequivalent atoms are Ca at (0.0000, 0.1668, 0.0000), Pm at (0.0000, 0.0000, 0.5000), Pm at (0.0000, 0.3334, 0.5000), Te at (0.2490, 0.3342, 0.2494) and Te at (0.2486, 0.5000, 0.7512).

---

Record 6
A plane-wave DFT calculation with GGA-PBE was carried out for CaPm4Te5 after structural relaxation.

As for the theoretical density: 6.6 g/cm³. For the calculated total energy, the calculation gives -5.123 eV/atom. The polymorph energy (0 for the lowest one) comes out at 0 meV/atom. Its uncorrected formation energy is -1452 meV per atom.

It has space group I4/mmm (No. 139), with a = 4.4583 Å, b = 4.4583 Å, c = 31.8342 Å, α = 90.00°, β = 90.00° and γ = 90.00°. The inequivalent atoms are Ca at (0.0000, 0.0000, 0.0000), Pm at (0.0000, 0.0000, 0.1967), Pm at (0.0000, 0.0000, 0.3962), Te at (0.0000, 0.0000, 0.0979), Te at (0.0000, 0.0000, 0.2973) and Te at (0.0000, 0.0000, 0.5000).

---

Record 7
A plane-wave DFT calculation with GGA-PBE was carried out for Ca3Pm4Te8 after structural relaxation.

As for the theoretical density: 5.6 g/cm³. For the calculated total energy, the calculation gives -4.862 eV/atom. Its uncorrected formation energy is -1520 meV per atom.

It has space group C2/m (No. 12), with a = 12.6243 Å, b = 12.6500 Å, c = 8.9257 Å, α = 90.00°, β = 134.70° and γ = 90.00°. The inequivalent atoms are Ca at (0.0000, 0.0000, 0.0000), Ca at (0.2500, 0.2500, 0.0000), Pm at (0.0000, 0.5000, 0.0000), Pm at (0.0000, 0.5000, 0.5000), Pm at (0.2500, 0.2500, 0.5000), Te at (0.0000, 0.2474, 0.5000), Te at (0.0000, 0.2492, 0.0000), Te at (0.2458, 0.0000, 0.4999) and Te at (0.2501, 0.0000, 0.9990).

---

Record 8
A plane-wave DFT calculation with GGA-PBE was carried out for Ca4PmTe5 after structural relaxation.

As for the theoretical density: 4.8 g/cm³. For the calculated total energy, the calculation gives -4.440 eV/atom. Its uncorrected formation energy is -1593 meV per atom.

It has space group I4/mmm (No. 139), with a = 4.4975 Å, b = 4.4975 Å, c = 31.9440 Å, α = 90.00°, β = 90.00° and γ = 90.00°. The inequivalent atoms are Ca at (0.0000, 0.0000, 0.0997), Ca at (0.0000, 0.0000, 0.2998), Pm at (0.0000, 0.0000, 0.5000), Te at (0.0000, 0.0000, 0.0000), Te at (0.0000, 0.0000, 0.1997) and Te at (0.0000, 0.0000, 0.4002).

---

Record 9
A plane-wave DFT calculation with GGA-PBE was carried out for CaPm4Te5 after structural relaxation.

As for the theoretical density: 6.6 g/cm³. For the calculated total energy, the calculation gives -5.116 eV/atom. The polymorph energy (0 for the lowest one) comes out at 7 meV/atom. Its uncorrected formation energy is -1445 meV per atom.

It has space group I4/m (No. 87), with a = 9.9952 Å, b = 9.9952 Å, c = 6.3243 Å, α = 90.00°, β = 90.00° and γ = 90.00°. The inequivalent atoms are Ca at (0.0000, 0.0000, 0.0000), Pm at (0.0985, 0.3024, 0.5000), Te at (0.0000, 0.0000, 0.5000) and Te at (0.0993, 0.2957, 0.0000).

---

Record 10
A plane-wave DFT calculation with GGA-PBE was carried out for CaPmTe2 after structural relaxation.

As for the theoretical density: 5.6 g/cm³. For the calculated total energy, the calculation gives -4.702 eV/atom. The polymorph energy (0 for the lowest one) comes out at 65 meV/atom. Its uncorrected formation energy is -1443 meV per atom.

It has space group R3m (No. 160, hexagonal axes), with a = 4.3595 Å, b = 4.3595 Å, c = 23.6020 Å, α = 90.00°, β = 90.00° and γ = 120.00°. The inequivalent atoms are Ca at (0.0000, 0.0000, 0.0000), Pm at (0.0000, 0.0000, 0.1718), Te at (0.0000, 0.0000, 0.5861) and Te at (0.0000, 0.0000, 0.7546).

---

Record 11
A plane-wave DFT calculation with GGA-PBE was carried out for Ca5Pm3Te8 after structural relaxation.

As for the theoretical density: 5.4 g/cm³. For the calculated total energy, the calculation gives -4.627 eV/atom. Its uncorrected formation energy is -1540 meV per atom.

It has space group R-3m (No. 166, hexagonal axes), with a = 8.9389 Å, b = 8.9389 Å, c = 22.1793 Å, α = 90.00°, β = 90.00° and γ = 120.00°. The inequivalent atoms are Ca at (0.0000, 0.0000, 0.0000), Ca at (0.0000, 0.0000, 0.5000), Ca at (0.0000, 0.5000, 0.0000), Pm at (0.0000, 0.5000, 0.5000), Te at (0.0000, 0.0000, 0.2510) and Te at (0.0009, 0.5005, 0.2504).

---

Record 12
A plane-wave DFT calculation with GGA-PBE was carried out for CaPmTe2 after structural relaxation.

As for the theoretical density: 5.7 g/cm³. For the calculated total energy, the calculation gives -4.714 eV/atom. The polymorph energy (0 for the lowest one) comes out at 53 meV/atom. Its uncorrected formation energy is -1455 meV per atom.

It has space group P6_3/mmc (No. 194), with a = 4.3832 Å, b = 4.3832 Å, c = 15.4845 Å, α = 90.00°, β = 90.00° and γ = 120.00°. The inequivalent atoms are Ca at (0.3333, 0.6667, 0.2500), Pm at (0.0000, 0.0000, 0.0000) and Te at (0.3333, 0.6667, 0.6236).

---

- uncorrected formation energy of number 11 (Ca5Pm3Te8)?
  -1540 meV per atom

---

- What is the formula in the fifth record?
  Ca2Pm3Te6

---

Copy entry 3 word for word.
A plane-wave DFT calculation with GGA-PBE was carried out for CaPmTe2 after structural relaxation.

As for the theoretical density: 6.2 g/cm³. For the calculated total energy, the calculation gives -4.581 eV/atom. The polymorph energy (0 for the lowest one) comes out at 186 meV/atom. Its uncorrected formation energy is -1322 meV per atom.

It has space group P4/mmm (No. 123), with a = 3.8825 Å, b = 3.8825 Å, c = 7.7997 Å, α = 90.00°, β = 90.00° and γ = 90.00°. The inequivalent atoms are Ca at (0.0000, 0.0000, 0.0000), Pm at (0.0000, 0.0000, 0.5000) and Te at (0.5000, 0.5000, 0.2558).

---

- What is the formula in the eleventh record?
  Ca5Pm3Te8